The following is a PBE calculation of crystalline CaSc2Sn at its relaxed geometry, from Alexandria via LeMat-Bulk.

Cell: 4.6102 4.6882 4.6882 Å, 90.00 90.00 90.00°
Closest atoms and distances in Å follow each position.
Atoms (fractional coordinates):
Sc: 0.0000 0.0000 0.5000  4 Sn 3.29, 4 Ca 3.29, 4 Sc 3.32
Sc: 0.0000 0.5000 0.0000  4 Sn 3.29, 4 Ca 3.29, 4 Sc 3.32
Ca: 0.5000 0.5000 0.5000  8 Sc 3.29, 4 Sn 3.32
Sn: 0.5000 0.0000 0.0000  8 Sc 3.29, 4 Ca 3.32

Calculated values
The density comes out at 4076 kg/m³. The uncorrected energy comes out at -19.90 eV/f.u. The space group is P4/mmm (123). For the total magnetization, the calculation gives 0.30 μB per atom. The calculation puts the energy of formation at -0.308 eV/atom.

***

The following is a PBE calculation of crystalline Ca2ScSn at its relaxed geometry, from Alexandria via LeMat-Bulk.

Cell: 8.8877 8.8877 7.0518 Å, 50.94 50.94 90.00°
Closest atoms and distances in Å follow each position.
Atoms (fractional coordinates):
Sc: 0.5000 0.5000 0.0000  2 Sn 3.20, 4 Ca 3.42
Sc: 0.2500 0.7500 0.5000  2 Sn 3.20, 4 Ca 3.42
Ca: 0.6537 0.1250 0.2500  2 Sn 3.07, 2 Ca 3.24, 2 Sc 3.42
Ca: 0.0963 0.6250 0.2500  2 Sn 3.07, 2 Ca 3.24, 2 Sc 3.42
Ca: 0.3750 0.3463 0.7500  2 Sn 3.07, 2 Ca 3.24, 2 Sc 3.42
Ca: 0.8750 0.9037 0.7500  2 Sn 3.07, 2 Ca 3.24, 2 Sc 3.42
Sn: 0.0000 0.0000 0.0000  4 Ca 3.07, 2 Sc 3.20
Sn: 0.7500 0.2500 0.5000  4 Ca 3.07, 2 Sc 3.20

Calculated values
The density comes out at 3205 kg/m³. The uncorrected energy comes out at -14.07 eV/f.u. The space group is I-42d (122). For the total magnetization, the calculation gives 0.00 μB per atom. The calculation puts the energy of formation at 0.066 eV/atom.

***

The following is a PBE calculation of crystalline CaSc2Sn2 at its relaxed geometry, from Alexandria via LeMat-Bulk.

Cell: 8.6991 8.6991 3.3301 Å, 90.00 90.00 90.00°
Closest atoms and distances in Å follow each position.
Atoms (fractional coordinates):
Sc: 0.3759 0.8759 0.0000  6 Sn 3.00-3.10, 3 Sc 3.05-3.33
Sc: 0.8759 0.6241 0.0000  6 Sn 3.00-3.10, 3 Sc 3.05-3.33
Sc: 0.6241 0.1241 0.0000  6 Sn 3.00-3.10, 3 Sc 3.05-3.33
Sc: 0.1241 0.3759 0.0000  6 Sn 3.00-3.10, 3 Sc 3.05-3.33
Ca: 0.0000 0.0000 0.0000  2 Ca 3.33, 4 Sc 3.44, 8 Sn 3.62
Ca: 0.5000 0.5000 0.0000  2 Ca 3.33, 4 Sc 3.44, 8 Sn 3.62
Sn: 0.1730 0.6730 0.5000  6 Sc 3.00-3.10, 2 Sn 3.33
Sn: 0.6730 0.8270 0.5000  6 Sc 3.00-3.10, 2 Sn 3.33
Sn: 0.8270 0.3270 0.5000  6 Sc 3.00-3.10, 2 Sn 3.33
Sn: 0.3270 0.1730 0.5000  6 Sc 3.00-3.10, 2 Sn 3.33

Calculated values
The density comes out at 4842 kg/m³. The uncorrected energy comes out at -25.16 eV/f.u. The space group is P4/mbm (127). For the total magnetization, the calculation gives 0.00 μB per atom. The calculation puts the energy of formation at -0.497 eV/atom.

***

The following is a PBE calculation of crystalline CaSc2Sn at its relaxed geometry, from Alexandria via LeMat-Bulk.

Cell: 11.8095 11.8095 11.8095 Å, 16.61 16.61 16.61°
Closest atoms and distances in Å follow each position.
Atoms (fractional coordinates):
Sc: 0.9161 0.9161 0.9161  1 Sn 2.93
Sc: 0.0839 0.0839 0.0839  1 Sn 2.93
Ca: 0.5000 0.5000 0.5000  6 Ca 3.41, 6 Sc 3.50
Sn: 0.0000 0.0000 0.0000  2 Sc 2.93

Calculated values
The density comes out at 3520 kg/m³. The uncorrected energy comes out at -17.80 eV/f.u. The space group is R-3m (166). For the total magnetization, the calculation gives 0.24 μB per atom. The calculation puts the energy of formation at 0.217 eV/atom.

***

Please write out number 4 again, unchanged.
The following is a PBE calculation of crystalline CaSc2Sn at its relaxed geometry, from Alexandria via LeMat-Bulk.

Cell: 11.8095 11.8095 11.8095 Å, 16.61 16.61 16.61°
Closest atoms and distances in Å follow each position.
Atoms (fractional coordinates):
Sc: 0.9161 0.9161 0.9161  1 Sn 2.93
Sc: 0.0839 0.0839 0.0839  1 Sn 2.93
Ca: 0.5000 0.5000 0.5000  6 Ca 3.41, 6 Sc 3.50
Sn: 0.0000 0.0000 0.0000  2 Sc 2.93

Calculated values
The density comes out at 3520 kg/m³. The uncorrected energy comes out at -17.80 eV/f.u. The space group is R-3m (166). For the total magnetization, the calculation gives 0.24 μB per atom. The calculation puts the energy of formation at 0.217 eV/atom.

***

Question: Which of these has the highest energy of formation?
Answer: number 4

***

Copy entry 3 word for word.
The following is a PBE calculation of crystalline CaSc2Sn2 at its relaxed geometry, from Alexandria via LeMat-Bulk.

Cell: 8.6991 8.6991 3.3301 Å, 90.00 90.00 90.00°
Closest atoms and distances in Å follow each position.
Atoms (fractional coordinates):
Sc: 0.3759 0.8759 0.0000  6 Sn 3.00-3.10, 3 Sc 3.05-3.33
Sc: 0.8759 0.6241 0.0000  6 Sn 3.00-3.10, 3 Sc 3.05-3.33
Sc: 0.6241 0.1241 0.0000  6 Sn 3.00-3.10, 3 Sc 3.05-3.33
Sc: 0.1241 0.3759 0.0000  6 Sn 3.00-3.10, 3 Sc 3.05-3.33
Ca: 0.0000 0.0000 0.0000  2 Ca 3.33, 4 Sc 3.44, 8 Sn 3.62
Ca: 0.5000 0.5000 0.0000  2 Ca 3.33, 4 Sc 3.44, 8 Sn 3.62
Sn: 0.1730 0.6730 0.5000  6 Sc 3.00-3.10, 2 Sn 3.33
Sn: 0.6730 0.8270 0.5000  6 Sc 3.00-3.10, 2 Sn 3.33
Sn: 0.8270 0.3270 0.5000  6 Sc 3.00-3.10, 2 Sn 3.33
Sn: 0.3270 0.1730 0.5000  6 Sc 3.00-3.10, 2 Sn 3.33

Calculated values
The density comes out at 4842 kg/m³. The uncorrected energy comes out at -25.16 eV/f.u. The space group is P4/mbm (127). For the total magnetization, the calculation gives 0.00 μB per atom. The calculation puts the energy of formation at -0.497 eV/atom.